w | Below is crystalline CaOsI2O at its relaxed geometry, with properties calculated at the PBE level. Values from VASP.

```
&SYSTEM
  ibrav = 0, nat = 5, ntyp = 4
/
ATOMIC_SPECIES
Ca 40.08 Ca.upf
Os 190.23 Os.upf
I 126.90 I.upf
O 16.00 O.upf
ATOMIC_POSITIONS angstrom
Ca 0.000 0.000 0.000
Os 2.862 2.862 1.895
I 0.000 2.862 1.895
I 2.862 0.000 1.895
O 2.862 2.862 0.000
CELL_PARAMETERS angstrom
5.724 0.000 0.000
0.000 5.724 0.000
0.000 0.000 3.791
```

Computed properties:
- Magnetization: 0.00 μB/f.u.

x | Below is crystalline CaOsI2O at its relaxed geometry, with properties calculated at the PBE level. Values from VASP.

```
&SYSTEM
  ibrav = 0, nat = 5, ntyp = 4
/
ATOMIC_SPECIES
Ca 40.08 Ca.upf
Os 190.23 Os.upf
I 126.90 I.upf
O 16.00 O.upf
ATOMIC_POSITIONS angstrom
Ca 0.000 0.000 0.000
Os 3.018 3.018 2.039
I 0.000 3.018 0.000
I 3.018 0.000 0.000
O 0.000 0.000 2.039
CELL_PARAMETERS angstrom
6.035 0.000 0.000
0.000 6.035 0.000
0.000 0.000 4.078
```

Computed properties:
- Magnetization: 4.18 μB/f.u.

Most stable structure, least stable structure: w, x.

w | Below is crystalline CaP2IO at its relaxed geometry, with properties calculated at the PBE level. Values from VASP.

```
&SYSTEM
  ibrav = 0, nat = 5, ntyp = 4
/
ATOMIC_SPECIES
Ca 40.08 Ca.upf
P 30.97 P.upf
I 126.90 I.upf
O 16.00 O.upf
ATOMIC_POSITIONS angstrom
Ca 0.000 0.000 0.000
P 0.000 2.748 0.000
P 2.748 0.000 0.000
I 2.748 2.748 2.091
O 0.000 0.000 2.091
CELL_PARAMETERS angstrom
5.496 0.000 0.000
0.000 5.496 0.000
0.000 0.000 4.182
```

Computed properties:
- Magnetization: 0.45 μB/f.u.

x | Below is crystalline CaP2IO at its relaxed geometry, with properties calculated at the PBE level. Values from VASP.

```
&SYSTEM
  ibrav = 0, nat = 5, ntyp = 4
/
ATOMIC_SPECIES
Ca 40.08 Ca.upf
P 30.97 P.upf
I 126.90 I.upf
O 16.00 O.upf
ATOMIC_POSITIONS angstrom
Ca 0.000 0.000 0.000
P 0.000 2.621 2.012
P 2.621 0.000 2.012
I 2.621 2.621 2.012
O 2.621 2.621 0.000
CELL_PARAMETERS angstrom
5.243 0.000 0.000
0.000 5.243 0.000
0.000 0.000 4.024
```

Computed properties:
- Magnetization: 0.00 μB/f.u.

Most stable structure, least stable structure: x, w.

w | Below is crystalline CaPI2O at its relaxed geometry, with properties calculated at the PBE level. Values from VASP.

```
&SYSTEM
  ibrav = 0, nat = 5, ntyp = 4
/
ATOMIC_SPECIES
Ca 40.08 Ca.upf
P 30.97 P.upf
I 126.90 I.upf
O 16.00 O.upf
ATOMIC_POSITIONS angstrom
Ca 0.000 0.000 0.000
P 2.941 2.941 1.839
I 0.000 2.941 1.839
I 2.941 0.000 1.839
O 2.941 2.941 0.000
CELL_PARAMETERS angstrom
5.881 0.000 0.000
0.000 5.881 0.000
0.000 0.000 3.678
```

Computed properties:
- Magnetization: 0.00 μB/f.u.

x | Below is crystalline CaPI2O at its relaxed geometry, with properties calculated at the PBE level. Values from VASP.

```
&SYSTEM
  ibrav = 0, nat = 5, ntyp = 4
/
ATOMIC_SPECIES
Ca 40.08 Ca.upf
P 30.97 P.upf
I 126.90 I.upf
O 16.00 O.upf
ATOMIC_POSITIONS angstrom
Ca 0.000 0.000 0.000
P 3.022 3.022 2.049
I 0.000 3.022 0.000
I 3.022 0.000 0.000
O 0.000 0.000 2.049
CELL_PARAMETERS angstrom
6.044 0.000 0.000
0.000 6.044 0.000
0.000 0.000 4.097
```

Computed properties:
- Magnetization: 0.00 μB/f.u.

Most stable structure, least stable structure: w, x.

w | Below is crystalline RbCaIO2 at its relaxed geometry, with properties calculated at the PBE level. Values from VASP.

```
&SYSTEM
  ibrav = 0, nat = 5, ntyp = 4
/
ATOMIC_SPECIES
Rb 85.47 Rb.upf
Ca 40.08 Ca.upf
I 126.90 I.upf
O 16.00 O.upf
ATOMIC_POSITIONS angstrom
Rb 0.000 0.000 0.000
Ca 2.375 2.375 3.173
I 2.375 2.375 0.000
O 0.000 2.375 3.173
O 2.375 0.000 3.173
CELL_PARAMETERS angstrom
4.750 0.000 0.000
0.000 4.750 0.000
0.000 0.000 6.345
```

Computed properties:
- Magnetization: 0.00 μB/f.u.

x | Below is crystalline RbCaIO2 at its relaxed geometry, with properties calculated at the PBE level. Values from VASP.

```
&SYSTEM
  ibrav = 0, nat = 5, ntyp = 4
/
ATOMIC_SPECIES
Rb 85.47 Rb.upf
Ca 40.08 Ca.upf
I 126.90 I.upf
O 16.00 O.upf
ATOMIC_POSITIONS angstrom
Rb 0.000 0.000 0.000
Ca 0.000 0.000 4.918
I 2.354 2.354 0.000
O 0.000 2.354 4.918
O 2.354 0.000 4.918
CELL_PARAMETERS angstrom
4.707 0.000 0.000
0.000 4.707 0.000
0.000 0.000 9.836
```

Computed properties:
- Magnetization: 2.00 μB/f.u.

y | Below is crystalline RbCaIO2 at its relaxed geometry, with properties calculated at the PBE level. Values from VASP.

```
&SYSTEM
  ibrav = 0, nat = 5, ntyp = 4
/
ATOMIC_SPECIES
Rb 85.47 Rb.upf
Ca 40.08 Ca.upf
I 126.90 I.upf
O 16.00 O.upf
ATOMIC_POSITIONS angstrom
Rb 0.000 0.000 0.000
Ca 2.346 2.346 3.159
I 0.000 0.000 3.159
O 0.000 2.346 0.000
O 2.346 0.000 0.000
CELL_PARAMETERS angstrom
4.692 0.000 0.000
0.000 4.692 0.000
0.000 0.000 6.318
```

Computed properties:
- Magnetization: 0.23 μB/f.u.

Most stable structure, least stable structure: w, y.

w | Below is crystalline CaRuIO2 at its relaxed geometry, with properties calculated at the PBE level. Values from VASP.

```
&SYSTEM
  ibrav = 0, nat = 5, ntyp = 4
/
ATOMIC_SPECIES
Ca 40.08 Ca.upf
Ru 101.07 Ru.upf
I 126.90 I.upf
O 16.00 O.upf
ATOMIC_POSITIONS angstrom
Ca 0.000 0.000 0.000
Ru 2.156 2.156 3.128
I 0.000 0.000 3.128
O 0.000 2.156 0.000
O 2.156 0.000 0.000
CELL_PARAMETERS angstrom
4.312 0.000 0.000
0.000 4.312 0.000
0.000 0.000 6.256
```

Computed properties:
- Magnetization: 4.83 μB/f.u.

x | Below is crystalline CaRuIO2 at its relaxed geometry, with properties calculated at the PBE level. Values from VASP.

```
&SYSTEM
  ibrav = 0, nat = 5, ntyp = 4
/
ATOMIC_SPECIES
Ca 40.08 Ca.upf
Ru 101.07 Ru.upf
I 126.90 I.upf
O 16.00 O.upf
ATOMIC_POSITIONS angstrom
Ca 0.000 0.000 0.000
Ru 2.061 2.061 2.702
I 2.061 2.061 0.000
O 0.000 2.061 2.702
O 2.061 0.000 2.702
CELL_PARAMETERS angstrom
4.123 0.000 0.000
0.000 4.123 0.000
0.000 0.000 5.404
```

Computed properties:
- Magnetization: 1.77 μB/f.u.

Most stable structure, least stable structure: x, w.

w | Below is crystalline CaSb2IO at its relaxed geometry, with properties calculated at the PBE level. Values from VASP.

```
&SYSTEM
  ibrav = 0, nat = 5, ntyp = 4
/
ATOMIC_SPECIES
Ca 40.08 Ca.upf
Sb 121.76 Sb.upf
I 126.90 I.upf
O 16.00 O.upf
ATOMIC_POSITIONS angstrom
Ca 0.000 0.000 0.000
Sb 0.000 2.272 3.365
Sb 2.272 0.000 3.365
I 2.272 2.272 0.000
O 2.272 2.272 3.365
CELL_PARAMETERS angstrom
4.544 0.000 0.000
0.000 4.544 0.000
0.000 0.000 6.730
```

Computed properties:
- Magnetization: 0.00 μB/f.u.

x | Below is crystalline CaSb2IO at its relaxed geometry, with properties calculated at the PBE level. Values from VASP.

```
&SYSTEM
  ibrav = 0, nat = 5, ntyp = 4
/
ATOMIC_SPECIES
Ca 40.08 Ca.upf
Sb 121.76 Sb.upf
I 126.90 I.upf
O 16.00 O.upf
ATOMIC_POSITIONS angstrom
Ca 0.000 0.000 0.000
Sb 0.000 2.953 0.000
Sb 2.953 0.000 0.000
I 0.000 0.000 2.854
O 2.953 2.953 2.854
CELL_PARAMETERS angstrom
5.905 0.000 0.000
0.000 5.905 0.000
0.000 0.000 5.707
```

Computed properties:
- Magnetization: 0.00 μB/f.u.

Most stable structure, least stable structure: w, x.